# 1
First-principles (GGA-PBE) data for crystalline PrGa5Pt7 at its relaxed geometry, as listed in Alexandria.

Cell lengths 6.893, 6.893, 6.893 Å; angles 133.91, 97.17, 100.47 degrees
Sites, in units of the cell vectors:
Pr (0.000, 0.000, 0.000)
Ga (0.479, 0.493, 0.497)
Ga (0.479, 0.982, 0.986)
Ga (0.768, 0.268, 0.500)
Ga (0.996, 0.493, 0.014)
Ga (0.996, 0.982, 0.503)
Pt (0.183, 0.474, 0.708)
Pt (0.221, 0.721, 0.500)
Pt (0.343, 0.343, 0.000)
Pt (0.349, 0.008, 0.342)
Pt (0.666, 0.008, 0.658)
Pt (0.666, 0.666, 0.000)
Pt (0.766, 0.474, 0.292)

Results
- D(E_F): 0.314 states/eV/atom
- Magnetization: 0.00 μB per formula unit
- E_tot: -0.1990 hartree per atom
- SG: Imm2, No. 44



# 2
First-principles (GGA-PBE) data for crystalline Pr3Ga7Pt4 at its relaxed geometry, as listed in Alexandria.

Cell lengths 8.369, 8.369, 9.433 Å; angles 123.35, 123.35, 30.48 degrees
Sites, in units of the cell vectors:
Pr (0.000, 0.000, 0.000)
Pr (0.312, 0.312, 0.307)
Pr (0.688, 0.688, 0.693)
Ga (0.000, 0.000, 0.500)
Ga (0.158, 0.158, 0.430)
Ga (0.321, 0.321, 0.963)
Ga (0.498, 0.498, 0.285)
Ga (0.502, 0.502, 0.715)
Ga (0.679, 0.679, 0.037)
Ga (0.842, 0.842, 0.570)
Pt (0.126, 0.126, 0.858)
Pt (0.345, 0.345, 0.714)
Pt (0.655, 0.655, 0.286)
Pt (0.874, 0.874, 0.142)

Results
- D(E_F): 0.492 states/eV/atom
- Magnetization: 0.00 μB per formula unit
- E_tot: -0.1889 hartree per atom
- SG: C2/m, No. 12



# 3
First-principles (GGA-PBE) data for crystalline PrGaPt2 at its relaxed geometry, as listed in Alexandria.

Cell lengths 7.564, 7.180, 5.811 Å; angles 90.00, 90.00, 90.00 degrees
Sites, in units of the cell vectors:
Pr (0.029, 0.250, 0.145)
Pr (0.471, 0.750, 0.645)
Pr (0.529, 0.250, 0.355)
Pr (0.971, 0.750, 0.855)
Ga (0.120, 0.750, 0.355)
Ga (0.380, 0.250, 0.855)
Ga (0.620, 0.750, 0.145)
Ga (0.880, 0.250, 0.645)
Pt (0.180, 0.053, 0.586)
Pt (0.180, 0.447, 0.586)
Pt (0.320, 0.553, 0.086)
Pt (0.320, 0.947, 0.086)
Pt (0.680, 0.053, 0.914)
Pt (0.680, 0.447, 0.914)
Pt (0.820, 0.553, 0.414)
Pt (0.820, 0.947, 0.414)

Results
- D(E_F): 0.452 states/eV/atom
- Magnetization: 0.00 μB per formula unit
- E_tot: -0.2195 hartree per atom
- SG: Pnma, No. 62



Question: Among the records above, which one has the highest D(E_F)?
Answer: Pr3Ga7Pt4



Question: The lowest D(E_F) belongs to which entry?
Answer: PrGa5Pt7